First-principles (PBE) data for an optimized crystal structure of MnTl2ZnCl6, as listed in the Alexandria database.

Results
ΔE_f (raw)	-1.04	eV/atom
symmetry	C2
final energy	-36.70	eV for the cell shown

CIF file:
```
data_MnTl2ZnCl6
_chemical_formula_sum 'Mn1 Tl2 Zn1 Cl6'
_cell_length_a 7.6125
_cell_length_b 7.6050
_cell_length_c 6.7188
_cell_angle_alpha 63.84
_cell_angle_beta 63.73
_cell_angle_gamma 52.29
_space_group_name_H-M_alt 'P 1'
_space_group_IT_number 1
loop_
_space_group_symop_operation_xyz
'x,y,z'
loop_
_atom_site_label
_atom_site_fract_x
_atom_site_fract_y
_atom_site_fract_z
Mn1 0.7852 0.7852 0.5825
Tl1 0.5440 0.5437 0.3238
Tl2 0.0444 0.0444 0.8233
Zn1 0.2819 0.2820 0.0856
Cl1 0.5349 0.1299 0.3293
Cl2 0.0890 0.0885 0.2789
Cl3 0.0404 0.6250 0.2358
Cl4 0.5868 0.5872 0.7808
Cl5 0.6251 0.0408 0.8338
Cl6 0.1298 0.5348 0.7413
```